(1)
## Ca2TbNd3Se6 (PBE)

Data for an optimized crystal structure of Ca2TbNd3Se6.

Summary:
Space-group type: C2/m
Total magnetic moment in μB per formula unit: 0.00
Formation energy from raw total energies in eV per atom: -1.872
VASP energy in eV/atom: -5.526

Unit cell a=7.2174 b=7.2174 c=7.3566 alpha=99.42 beta=99.42 gamma=120.07
Last column: nearest neighbours and their distance in Å.
Sites, in units of the cell vectors:
Ca 0.3335 0.6665 0.0000  6 Se 2.93-2.95
Ca 0.6665 0.3335 0.0000  6 Se 2.93-2.95
Tb 0.0000 0.0000 0.0000  6 Se 2.91-2.93
Nd 0.1706 0.8294 0.5000  6 Se 2.99-3.02
Nd 0.8294 0.1706 0.5000  6 Se 2.99-3.02
Nd 0.5000 0.5000 0.5000  6 Se 3.01
Se 0.9205 0.5894 0.7618  1 Tb 2.91, 2 Ca 2.93, 3 Nd 2.99-3.01
Se 0.7504 0.7504 0.2438  1 Tb 2.93, 2 Ca 2.95, 3 Nd 3.01-3.02
Se 0.0795 0.4106 0.2382  1 Tb 2.91, 2 Ca 2.93, 3 Nd 2.99-3.01
Se 0.5894 0.9205 0.7618  1 Tb 2.91, 2 Ca 2.93, 3 Nd 2.99-3.01
Se 0.2496 0.2496 0.7562  1 Tb 2.93, 2 Ca 2.95, 3 Nd 3.01-3.02
Se 0.4106 0.0795 0.2382  1 Tb 2.91, 2 Ca 2.93, 3 Nd 2.99-3.01

---

(2)
## KDyPu2O8 (PBE)

Data for an optimized crystal structure of KDyPu2O8.

Summary:
Space-group type: I-4m2
Total magnetic moment in μB per formula unit: 4.00
Formation energy from raw total energies in eV per atom: -2.485
VASP energy in eV/atom: -8.654

Unit cell a=5.4595 b=5.4595 c=6.4913 alpha=114.87 beta=114.87 gamma=90.00
Last column: nearest neighbours and their distance in Å.
Sites, in units of the cell vectors:
K 0.7500 0.2500 0.5000  8 O 2.50
Dy 0.0000 0.0000 0.0000  8 O 2.37
Pu 0.5000 0.5000 0.0000  8 O 2.25
Pu 0.2500 0.7500 0.5000  8 O 2.22
O 0.8843 0.8390 0.2412  2 Pu 2.22-2.25, 1 Dy 2.37, 1 O 2.38
O 0.3570 0.4022 0.2412  2 Pu 2.22-2.25, 1 Dy 2.37, 1 O 2.38
O 0.5977 0.6429 0.7588  2 Pu 2.22-2.25, 1 Dy 2.37, 1 O 2.38
O 0.1611 0.1159 0.7588  2 Pu 2.22-2.25, 1 Dy 2.37, 1 O 2.38
O 0.8841 0.4023 0.2412  2 Pu 2.22-2.25, 1 Dy 2.37, 1 O 2.38
O 0.3571 0.8389 0.2412  2 Pu 2.22-2.25, 1 Dy 2.37, 1 O 2.38
O 0.1610 0.6430 0.7588  2 Pu 2.22-2.25, 1 Dy 2.37, 1 O 2.38
O 0.5978 0.1157 0.7588  2 Pu 2.22-2.25, 1 Dy 2.37, 1 O 2.38

---

(3)
## Ho6CuPd5 (PBE)

Data for an optimized crystal structure of Ho6CuPd5.

Summary:
Space-group type: C2/m
ΔE_f in eV per atom: -0.795
Total magnetic moment in μB per formula unit: 0.00
VASP energy in eV/atom: -5.589

Unit cell a=4.9428 b=6.9697 c=8.5519 alpha=114.05 beta=106.73 gamma=90.00
Last column: nearest neighbours and their distance in Å.
Sites, in units of the cell vectors:
Pd 0.6662 0.1664 0.3327  8 Ho 3.02-3.04
Pd 0.3311 0.3312 0.6624  8 Ho 3.01-3.05
Pd 0.0000 0.5000 0.0000  8 Ho 3.01-3.02
Pd 0.6689 0.6688 0.3376  8 Ho 3.01-3.05
Pd 0.3338 0.8336 0.6673  8 Ho 3.02-3.04
Ho 0.8340 0.5840 0.6683  7 Pd 3.01-3.04, 1 Cu 3.01
Ho 0.8342 0.0842 0.6683  7 Pd 3.01-3.04, 1 Cu 3.01
Ho 0.4998 0.7499 0.0000  6 Pd 3.02-3.05, 2 Cu 3.02-3.03
Ho 0.5002 0.2501 0.0000  6 Pd 3.02-3.05, 2 Cu 3.02-3.03
Ho 0.1658 0.9158 0.3317  7 Pd 3.01-3.04, 1 Cu 3.01
Ho 0.1660 0.4160 0.3317  7 Pd 3.01-3.04, 1 Cu 3.01
Cu 0.0000 0.0000 0.0000  8 Ho 3.01-3.03

---

(4)
## Mg2TaSi (PBE)

Data for an optimized crystal structure of Mg2TaSi.

Summary:
Space-group type: I-42d
Total magnetic moment in μB per formula unit: 0.00
Formation energy from raw total energies in eV per atom: 0.482
VASP energy in eV/atom: -4.634

Unit cell a=7.7228 b=7.7228 c=6.0474 alpha=50.32 beta=50.32 gamma=90.00
Last column: nearest neighbours and their distance in Å.
Sites, in units of the cell vectors:
Si 0.5000 0.5000 0.0000  4 Mg 2.59, 2 Ta 2.60
Si 0.2500 0.7500 0.5000  4 Mg 2.59, 2 Ta 2.60
Mg 0.5827 0.1250 0.2500  2 Si 2.59, 2 Mg 2.68
Mg 0.1673 0.6250 0.2500  2 Si 2.59, 2 Mg 2.68
Mg 0.3750 0.4173 0.7500  2 Si 2.59, 2 Mg 2.68
Mg 0.8750 0.8327 0.7500  2 Si 2.59, 2 Mg 2.68
Ta 0.0000 0.0000 0.0000  2 Si 2.60
Ta 0.7500 0.2500 0.5000  2 Si 2.60